1 | DFT (GGA-PBEsol) results for crystalline BaLiFe2 at its relaxed geometry.

symmetry = F-43m (216)

Structure (extended XYZ):
```
4
Lattice="4.738 0.000 0.000 2.369 4.103 0.000 2.369 1.368 3.869" Properties=species:S:1:pos:R:3 pbc="T T T"
Li 4.738 2.736 1.934
Fe 0.000 0.000 0.000
Fe 7.107 4.103 2.902
Ba 2.369 1.368 0.967
```

2 | DFT (GGA-PBEsol) results for crystalline BaLiFe2 at its relaxed geometry.

symmetry = P4/mmm (123)

Structure (extended XYZ):
```
4
Lattice="3.412 0.000 0.000 0.000 3.412 0.000 0.000 0.000 6.824" Properties=species:S:1:pos:R:3 pbc="T T T"
Ba 1.706 1.706 3.412
Li 1.706 1.706 0.000
Fe 0.000 0.000 5.753
Fe 0.000 0.000 1.071
```

The data favor 2; the next most stable structure lies 64 meV per atom above it.

1 | DFT (GGA-PBEsol) results for crystalline BaMgFe2 at its relaxed geometry.

symmetry = Fm-3m (225)

Structure (extended XYZ):
```
4
Lattice="-4.898 -0.579 0.385 -1.847 -3.952 2.332 -2.215 0.530 4.391" Properties=species:S:1:pos:R:3 pbc="T T T"
Ba 0.000 0.000 0.000
Fe -6.720 -3.001 5.331
Fe -2.240 -1.000 1.777
Mg -4.480 -2.001 3.554
```

2 | DFT (GGA-PBEsol) results for crystalline BaMgFe2 at its relaxed geometry.

symmetry = P4mm (99)

Structure (extended XYZ):
```
4
Lattice="-0.577 1.560 -2.725 -3.123 -0.001 0.661 0.817 7.063 3.870" Properties=species:S:1:pos:R:3 pbc="T T T"
Mg 0.341 2.944 1.613
Fe 0.077 0.664 0.364
Fe -1.688 2.185 -0.262
Ba -1.204 6.360 2.026
```

The data favor 2; the next most stable structure lies 525 meV per atom above it.

1 | DFT (GGA-PBEsol) results for crystalline BaMn2Fe at its relaxed geometry.

symmetry = P4/mmm (123)

Structure (extended XYZ):
```
4
Lattice="3.120 0.000 0.000 0.000 3.120 0.000 0.000 0.000 7.224" Properties=species:S:1:pos:R:3 pbc="T T T"
Mn 0.000 0.000 2.619
Mn 0.000 0.000 4.605
Ba 1.560 1.560 0.000
Fe 1.560 1.560 3.612
```

2 | DFT (GGA-PBEsol) results for crystalline BaMn2Fe at its relaxed geometry.

symmetry = P4mm (99)

Structure (extended XYZ):
```
4
Lattice="3.018 0.000 0.000 0.000 3.018 0.000 0.000 0.000 7.628" Properties=species:S:1:pos:R:3 pbc="T T T"
Mn 0.000 0.000 7.565
Mn 1.509 1.509 1.211
Fe 1.509 1.509 6.401
Ba 0.000 0.000 3.893
```

The data favor 2; the next most stable structure lies 64 meV per atom above it.

1 | DFT (GGA-PBEsol) results for crystalline BaFeMo2 at its relaxed geometry.

symmetry = P4mm (99)

Structure (extended XYZ):
```
4
Lattice="-2.192 0.412 2.285 -0.480 -3.155 0.109 5.545 -0.655 5.438" Properties=species:S:1:pos:R:3 pbc="T T T"
Mo -0.423 -1.479 2.092
Mo 5.512 -0.651 5.406
Ba 2.821 -0.333 2.767
Fe 3.280 -1.917 5.724
```

2 | DFT (GGA-PBEsol) results for crystalline BaFeMo2 at its relaxed geometry.

symmetry = P4/mmm (123)

Structure (extended XYZ):
```
4
Lattice="-0.149 -2.881 1.370 4.650 -0.336 -0.201 0.326 1.985 4.211" Properties=species:S:1:pos:R:3 pbc="T T T"
Mo 0.163 0.992 2.105
Mo 2.325 -0.168 -0.101
Ba 2.413 -0.616 2.690
Fe -0.075 -1.441 0.685
```

The data favor 1; the next most stable structure lies 806 meV per atom above it.